Record 1
Material: ErTlAs
Method: DFT, PBE
State: optimized geometry

abc: 3.956 3.956 11.577
angles: 90.00 90.00 90.00
Space group I4mm (No. 107)
Inequivalent atoms, fractional coordinates:
Er1 0.000 0.000 0.000 (multiplicity 2)
Tl1 0.000 0.000 0.731 (multiplicity 2)
As1 0.000 0.000 0.483 (multiplicity 2)

Values from the calculation:
Calculated volume   30.19 Å³ per atom
Density   8.186 g cm⁻³
Magnetization   0.000 μB/f.u.
DOS(E_F)   1.5 states/eV/f.u.
E above lowest polymorph   0.000 eV per atom
DFT formation energy   -0.57 eV/atom

Record 2
Material: LiPa2RhN5
Method: DFT, PBE
State: optimized geometry

abc: 3.487 13.092 9.440
angles: 90.00 90.00 90.00
Space group Cmc2_1 (No. 36)
Inequivalent atoms, fractional coordinates:
Li1 0.000 0.211 0.000 (multiplicity 4)
Pa1 0.000 0.117 0.693 (multiplicity 4)
Pa2 0.000 0.146 0.298 (multiplicity 4)
Rh1 0.000 0.462 0.473 (multiplicity 4)
N1 0.000 0.052 0.063 (multiplicity 4)
N2 0.000 0.286 0.686 (multiplicity 4)
N3 0.000 0.321 0.355 (multiplicity 4)
N4 0.000 0.369 0.022 (multiplicity 4)
N5 0.000 0.485 0.779 (multiplicity 4)

Values from the calculation:
Calculated volume   11.97 Å³ per atom
Density   9.895 g cm⁻³
Magnetization   0.000 μB/f.u.
DOS(E_F)   3.6 states/eV/f.u.
Energy   -8.5929 eV/atom

Record 3
Material: PrPu2Au6
Method: DFT, PBE
State: optimized geometry

abc: 8.4343 8.4343 3.2602
angles: 90.00 90.00 120.00
Space group P6/mmm (No. 191)
Inequivalent atoms, fractional coordinates:
Pr1 0.0000 0.0000 0.0000 (multiplicity 1)
Pu1 0.3333 0.6667 0.0000 (multiplicity 2)
Au1 0.0000 0.3346 0.5000 (multiplicity 6)

Values from the calculation:
Calculated volume   22.32 Å³ per atom
Density   14.970 g cm⁻³
Magnetization   11.918 μB/f.u.
DOS(E_F)   21.7 states/eV/f.u.
DFT formation energy   -0.56 eV/atom

Record 4
Material: CaNb3Ga
Method: DFT, PBE
State: optimized geometry

abc: 4.914 4.914 4.914
angles: 90.00 90.00 90.00
Space group Pm-3m (No. 221)
Inequivalent atoms, fractional coordinates:
Ca1 0.000 0.000 0.000 (multiplicity 1)
Nb1 0.000 0.500 0.500 (multiplicity 3)
Ga1 0.500 0.500 0.500 (multiplicity 1)

Values from the calculation:
Calculated volume   23.73 Å³ per atom
Density   5.436 g cm⁻³
Magnetization   0.000 μB/f.u.
DOS(E_F)   4.6 states/eV/f.u.
E above lowest polymorph   0.000 eV per atom
DFT formation energy   0.93 eV/atom

Record 5
Material: KAlS3
Method: DFT, PBE
State: optimized geometry

abc: 5.703 5.703 5.703
angles: 90.00 90.00 90.00
Space group Pm-3m (No. 221)
Inequivalent atoms, fractional coordinates:
K1 0.000 0.000 0.000 (multiplicity 1)
Al1 0.500 0.500 0.500 (multiplicity 1)
S1 0.000 0.000 0.500 (multiplicity 3)

Values from the calculation:
Calculated volume   37.10 Å³ per atom
Density   1.453 g cm⁻³
Magnetization   4.001 μB/f.u.
DOS(E_F)   5.9 states/eV/f.u.
E above lowest polymorph   1.621 eV per atom